MnTl2PdF6: optimized geometry, PBE+U.

Mass density in Mg/m³: 6.98
Energy in eV/atom: -4.76

Geometry as CIF:
```
data_MnTl2PdF6
_cell_length_a 6.118
_cell_length_b 6.118
_cell_length_c 8.690
_cell_angle_alpha 90.00
_cell_angle_beta 90.00
_cell_angle_gamma 90.00
_symmetry_space_group_name_H-M 'I 4/m m m'
_symmetry_Int_Tables_number 139
_symmetry_space_group_name_Hall '-I 4 2'
loop_
_atom_site_label
_atom_site_fract_x
_atom_site_fract_y
_atom_site_fract_z
Mn1 0.000 0.000 0.000
Tl1 0.000 0.500 0.250
Pd1 0.000 0.000 0.500
F1 0.000 0.000 0.241
F2 0.243 0.243 0.000
```